Entry 1:
Compound: TbDyMgZn
Source: Alexandria
Functional: GGA-PBE
Structure: relaxed

Results
E above lowest polymorph in meV/atom: 32
Total energy in eV/atom: -3.20
Energy of formation in eV/f.u.: -0.71

a = 7.3530 Å, b = 7.3530 Å, c = 7.3530 Å
α = 90.00°, β = 90.00°, γ = 90.00°
With the nearest neighbours (Å) after each atom.
Space group F-43m (No. 216)
One atom of each set of equivalent atoms:
Tb 0.0000 0.0000 0.0000 [4 per cell]  4 Mg 3.18, 4 Zn 3.18
Dy 0.0000 0.0000 0.5000 [4 per cell]  4 Zn 3.18, 4 Mg 3.18
Mg 0.2500 0.2500 0.7500 [4 per cell]  4 Dy 3.18, 4 Tb 3.18
Zn 0.2500 0.2500 0.2500 [4 per cell]  4 Tb 3.18, 4 Dy 3.18

***

Entry 2:
Compound: Ca3Pr4Ga4
Source: Alexandria
Functional: GGA-PBE
Structure: relaxed

Results
Total energy in eV/atom: -3.68
Energy of formation in eV/f.u.: -3.28

a = 5.2295 Å, b = 7.6614 Å, c = 16.5035 Å
α = 90.00°, β = 90.00°, γ = 90.00°
With the nearest neighbours (Å) after each atom.
Space group Immm (No. 71)
One atom of each set of equivalent atoms:
Ca 0.0000 0.0000 0.0000 [2 per cell]  2 Ga 3.19
Ca 0.0000 0.5000 0.1050 [4 per cell]  4 Ga 3.39, 1 Ca 3.47, 4 Pr 3.58
Pr 0.0000 0.2840 0.3272 [8 per cell]  4 Ga 2.99-3.11, 1 Pr 3.31
Ga 0.0000 0.0000 0.1932 [4 per cell]  6 Pr 3.10-3.11, 1 Ca 3.19
Ga 0.0000 0.1669 0.5000 [4 per cell]  1 Ga 2.56

***

Entry 3:
Compound: TbThCoPd
Source: Alexandria
Functional: GGA-PBE
Structure: relaxed

Results
E above lowest polymorph in meV/atom: 168
Total energy in eV/atom: -6.49
Energy of formation in eV/f.u.: -1.62

a = 7.0228 Å, b = 7.0228 Å, c = 7.0228 Å
α = 90.00°, β = 90.00°, γ = 90.00°
With the nearest neighbours (Å) after each atom.
Space group F-43m (No. 216)
One atom of each set of equivalent atoms:
Tb 0.0000 0.0000 0.0000 [4 per cell]  4 Co 3.04, 4 Pd 3.04
Th 0.0000 0.0000 0.5000 [4 per cell]  4 Co 3.04, 4 Pd 3.04
Co 0.2500 0.2500 0.2500 [4 per cell]  4 Tb 3.04, 4 Th 3.04
Pd 0.2500 0.2500 0.7500 [4 per cell]  4 Tb 3.04, 4 Th 3.04

***

Entry 4:
Compound: La2PmPuO8
Source: Alexandria
Functional: GGA-PBE
Structure: relaxed

Results
Raw formation energy in eV/f.u.: -36.50
Total energy in eV/atom: -8.76

a = 4.1346 Å, b = 7.6020 Å, c = 5.6411 Å
α = 90.00°, β = 96.32°, γ = 90.00°
With the nearest neighbours (Å) after each atom.
Space group P2/m (No. 10)
One atom of each set of equivalent atoms:
La 0.0000 0.2449 0.0000 [2 per cell]  6 O 2.33-2.56
Pm 0.5000 0.0000 0.5000 [1 per cell]  6 O 2.34-2.53
Pu 0.5000 0.5000 0.5000 [1 per cell]  6 O 1.97-2.11
O 0.0094 0.0000 0.2484 [2 per cell]  2 La 2.33, 1 Pm 2.34
O 0.0850 0.5000 0.2924 [2 per cell]  1 Pu 1.97
O 0.4494 0.2834 0.7270 [4 per cell]  1 Pu 2.11

***

Entry 5:
Compound: Ni2SbW
Source: Alexandria
Functional: GGA-PBE
Structure: relaxed

Results
Raw formation energy in eV/f.u.: 0.91
Total energy in eV/atom: -6.93

a = 2.8979 Å, b = 4.2275 Å, c = 4.8006 Å
α = 90.00°, β = 90.00°, γ = 90.00°
With the nearest neighbours (Å) after each atom.
Space group Pmm2 (No. 25)
One atom of each set of equivalent atoms:
Ni 0.0000 0.0000 0.0000 [1 per cell]  2 Ni 2.58, 4 Sb 2.66, 2 W 2.68
Ni 0.0000 0.5000 0.3072 [1 per cell]  2 Ni 2.58, 2 Sb 2.63, 4 W 2.68
Sb 0.5000 0.5000 0.8499 [1 per cell]  6 Ni 2.63-2.66, 2 W 2.79, 2 Sb 2.90
W 0.5000 0.0000 0.4704 [1 per cell]  8 Ni 2.68-2.93, 2 Sb 2.79, 2 W 2.90

***

Entry 6:
Compound: CrSNCl2
Source: Alexandria
Functional: GGA-PBE
Structure: relaxed

Results
E above lowest polymorph in meV/atom: 0
Raw formation energy in eV/f.u.: 4.82
Total energy in eV/atom: -4.19

a = 4.2169 Å, b = 4.2169 Å, c = 4.5860 Å
α = 90.00°, β = 90.00°, γ = 90.00°
With the nearest neighbours (Å) after each atom.
Space group P4/mmm (No. 123)
One atom of each set of equivalent atoms:
Cr 0.0000 0.0000 0.0000 [1 per cell]  4 S 2.98, 8 Cl 3.12
S 0.5000 0.5000 0.0000 [1 per cell]  2 N 2.29
N 0.5000 0.5000 0.5000 [1 per cell]  4 Cl 2.11, 2 S 2.29
Cl 0.0000 0.5000 0.5000 [2 per cell]  2 N 2.11

***

Entry 7:
Compound: ZrTiBi2
Source: Alexandria
Functional: GGA-PBE
Structure: relaxed

Results
E above lowest polymorph in meV/atom: 0
Total energy in eV/atom: -6.13
Energy of formation in eV/f.u.: -0.32

a = 8.5849 Å, b = 8.1854 Å, c = 7.0914 Å
α = 90.00°, β = 125.49°, γ = 90.00°
With the nearest neighbours (Å) after each atom.
Space group C2/c (No. 15)
One atom of each set of equivalent atoms:
Zr 0.0000 0.0903 0.2500 [4 per cell]  6 Bi 2.98-3.04, 1 Ti 3.24
Ti 0.0000 0.3058 0.7500 [4 per cell]  6 Bi 2.88-3.09
Bi 0.2031 0.3883 0.2330 [8 per cell]  3 Ti 2.88-3.09, 3 Zr 2.98-3.04

***

Entry 8:
Compound: CdAsW2
Source: Alexandria
Functional: GGA-PBE
Structure: relaxed

Results
E above lowest polymorph in meV/atom: 411
Total energy in eV/atom: -7.12
Energy of formation in eV/f.u.: 2.99

a = 3.1925 Å, b = 4.6443 Å, c = 4.6782 Å
α = 90.00°, β = 90.00°, γ = 90.00°
With the nearest neighbours (Å) after each atom.
Space group Pmmm (No. 47)
One atom of each set of equivalent atoms:
Cd 0.0000 0.0000 0.0000 [1 per cell]  4 W 2.82, 4 As 2.83
As 0.5000 0.0000 0.5000 [1 per cell]  4 W 2.82, 4 Cd 2.83
W 0.0000 0.5000 0.5000 [1 per cell]  4 As 2.82, 4 W 2.83
W 0.5000 0.5000 0.0000 [1 per cell]  4 Cd 2.82, 4 W 2.83

***

Entry 9:
Compound: SiAgAs3
Source: Alexandria
Functional: GGA-PBE
Structure: relaxed

Results
E above lowest polymorph in meV/atom: 450
Raw formation energy in eV/f.u.: 5.79
Total energy in eV/atom: -3.29

a = 4.9916 Å, b = 4.9916 Å, c = 4.9916 Å
α = 90.00°, β = 90.00°, γ = 90.00°
With the nearest neighbours (Å) after each atom.
Space group Pm-3m (No. 221)
One atom of each set of equivalent atoms:
Si 0.0000 0.0000 0.0000 [1 per cell]  12 As 3.53
Ag 0.5000 0.5000 0.5000 [1 per cell]  6 As 2.50
As 0.0000 0.5000 0.5000 [3 per cell]  2 Ag 2.50

***

Entry 10:
Compound: AcInGa2S6
Source: Alexandria
Functional: GGA-PBE
Structure: relaxed

Results
Raw formation energy in eV/f.u.: -9.42
Total energy in eV/atom: -4.71

a = 13.5120 Å, b = 11.1867 Å, c = 7.5352 Å
α = 90.00°, β = 115.07°, γ = 90.00°
With the nearest neighbours (Å) after each atom.
Space group C2/c (No. 15)
One atom of each set of equivalent atoms:
Ac 0.0000 0.1697 0.2500 [4 per cell]  6 S 2.96-3.20
In 0.0000 0.2015 0.7500 [4 per cell]  4 S 2.44-2.56
Ga 0.1944 0.4432 0.1912 [8 per cell]  4 S 2.29-2.35
S 0.1141 0.0556 0.6520 [8 per cell]  1 Ga 2.34, 1 In 2.56
S 0.1409 0.4158 0.4471 [8 per cell]  2 Ga 2.29-2.35
S 0.1438 0.2536 0.0696 [8 per cell]  1 Ga 2.30, 1 In 2.44

***

Entry 11:
Compound: Tb4ZnNi
Source: Alexandria
Functional: GGA-PBE
Structure: relaxed

Results
E above lowest polymorph in meV/atom: 165
Total energy in eV/atom: -4.37
Energy of formation in eV/f.u.: -0.62

a = 6.9175 Å, b = 6.9916 Å, c = 6.8661 Å
α = 90.00°, β = 94.94°, γ = 90.00°
With the nearest neighbours (Å) after each atom.
Space group P2_1/c (No. 14)
One atom of each set of equivalent atoms:
Tb 0.1534 0.1634 0.1847 [4 per cell]  2 Ni 2.74-2.84, 1 Zn 3.03
Tb 0.3267 0.6518 0.1247 [4 per cell]  1 Ni 2.58, 1 Zn 2.88
Zn 0.5000 0.0000 0.0000 [2 per cell]  6 Tb 2.88-3.03
Ni 0.0000 0.0000 0.5000 [2 per cell]  6 Tb 2.58-2.84

***

Entry 12:
Compound: Ce2GeP
Source: Alexandria
Functional: GGA-PBE
Structure: relaxed

Results
E above lowest polymorph in meV/atom: 13
Total energy in eV/atom: -6.54
Energy of formation in eV/f.u.: -4.27

a = 4.1523 Å, b = 4.1523 Å, c = 20.4551 Å
α = 90.00°, β = 90.00°, γ = 120.00°
With the nearest neighbours (Å) after each atom.
Space group R-3m (No. 166, hexagonal axes)
One atom of each set of equivalent atoms:
Ce 0.0000 0.0000 0.2468 [6 per cell]  3 P 2.90, 3 Ge 2.98
Ge 0.0000 0.0000 0.0000 [3 per cell]  6 Ce 2.98
P 0.0000 0.0000 0.5000 [3 per cell]  6 Ce 2.90